Compound: CuWO4
Source: Alexandria via LeMat-Bulk
Functional: PBE with a Hubbard U
Structure: relaxed

Properties
* SG: P-1 (2)
* theoretical density: 7.30 g cm⁻³
* polymorph energy (0 for the lowest one): 0 meV per atom

The structure in CIF format:
```
data_CuWO4
_chemical_formula_sum 'Cu2 W2 O8'
_space_group_name_H-M_alt 'P 1'
_space_group_IT_number 1
_cell_length_a 4.796
_cell_length_b 4.991
_cell_length_c 5.996
_cell_angle_alpha 86.45
_cell_angle_beta 82.06
_cell_angle_gamma 85.66
loop_
_space_group_symop_operation_xyz
'x,y,z'
loop_
_atom_site_label
_atom_site_type_symbol
_atom_site_fract_x
_atom_site_fract_y
_atom_site_fract_z
Cu1 Cu 0.006 0.250 0.347
Cu2 Cu 0.994 0.750 0.653
W1 W 0.489 0.256 0.835
W2 W 0.511 0.744 0.165
O1 O 0.232 0.904 0.382
O2 O 0.252 0.433 0.654
O3 O 0.283 0.431 0.121
O4 O 0.287 0.949 0.913
O5 O 0.713 0.051 0.087
O6 O 0.717 0.569 0.879
O7 O 0.748 0.567 0.346
O8 O 0.768 0.096 0.618
```